# Sm3Cd3Cu2Ag

Crystalline Sm3Cd3Cu2Ag at its relaxed geometry (GGA-PBE, the Open Quantum Materials Database).

Properties
M_tot = 0.015 μB per cell
volume = 202 Å³ per cell
E_form = -0.2971 eV per atom
final energy = -3.31 eV per atom

Unit cell a=7.619 b=7.619 c=4.028 alpha=90.00 beta=90.00 gamma=120.00
Positions (direct):
Sm 0.415 0.000 0.000
Sm 0.000 0.415 0.000
Sm 0.585 0.585 0.000
Cd 0.261 0.261 0.500
Cd 0.739 0.000 0.500
Cd 0.000 0.739 0.500
Ag 0.000 0.000 0.000
Cu 0.667 0.333 0.500
Cu 0.333 0.667 0.500